VASP calculation (GGA-PBE) on a geometry-optimized TbPm2Nd5Th structure.

a = 10.7392 Å, b = 10.7392 Å, c = 10.6389 Å
α = 90.00°, β = 90.00°, γ = 149.03°
With the nearest neighbours (Å) after each atom.
Sites, in units of the cell vectors:
1 Tb 0.0945 0.9055 0.5000  5 Nd 3.09-3.43
2 Tb 0.9055 0.0945 0.0000  5 Nd 3.09-3.43
3 Pm 0.3843 0.6157 0.3569  8 Nd 3.31-3.64, 1 Th 3.65
4 Pm 0.3854 0.6146 0.7760  1 Th 3.43, 7 Nd 3.52-3.76, 2 Tb 3.75
5 Pm 0.6146 0.3854 0.2760  1 Th 3.43, 7 Nd 3.52-3.76, 2 Tb 3.75
6 Pm 0.6157 0.3843 0.8569  8 Nd 3.31-3.64, 1 Th 3.65
7 Nd 0.0184 0.9816 0.7866  2 Tb 3.26-3.43, 2 Pm 3.58, 2 Nd 3.59-3.60
8 Nd 0.1142 0.8858 0.0674  6 Nd 3.59-3.92, 4 Pm 3.63-3.64, 1 Th 3.88
9 Nd 0.2062 0.7938 0.7467  2 Nd 3.41, 1 Tb 3.50, 3 Th 3.53-3.82, 3 Pm 3.62-3.72
10 Nd 0.2244 0.7756 0.3568  1 Tb 3.09, 1 Pm 3.31, 2 Nd 3.41
11 Nd 0.4852 0.5148 0.0609  2 Tb 3.37, 3 Pm 3.46-3.67, 2 Nd 3.74
12 Nd 0.5148 0.4852 0.5609  2 Tb 3.37, 3 Pm 3.46-3.67, 2 Nd 3.74
13 Nd 0.7756 0.2244 0.8568  1 Tb 3.09, 1 Pm 3.31, 2 Nd 3.41
14 Nd 0.7938 0.2062 0.2467  2 Nd 3.41, 1 Tb 3.50, 3 Th 3.53-3.82, 3 Pm 3.62-3.72
15 Nd 0.8858 0.1142 0.5674  6 Nd 3.59-3.92, 4 Pm 3.63-3.64, 1 Th 3.88
16 Nd 0.9816 0.0184 0.2866  2 Tb 3.26-3.43, 2 Pm 3.58, 2 Nd 3.59-3.60
17 Th 0.3015 0.6985 0.0542  2 Pm 3.43-3.65, 7 Nd 3.53-3.82, 2 Tb 3.63
18 Th 0.6985 0.3015 0.5542  2 Pm 3.43-3.65, 7 Nd 3.53-3.82, 2 Tb 3.63

Calculated values
As for the total DFT energy (no corrections): -4.89 eV per atom. For the total moment, the calculation gives 0.0 μB per formula unit. The calculated volume comes out at 631.3 Å³ per cell. As for the energy of formation from the pure elements: 0.1486 eV per atom. Its space-group type is Cmc2_1 (36).